# 1
The following is a PBE with a Hubbard U calculation of a geometry-optimized MgNiO structure, from the Alexandria database.

Final energy in eV/atom: -4.35
D(E_F) in states/eV/cell: 0.91

abc: 2.932 2.932 7.719
angles: 90.00 90.00 90.00
Space group P4/nmm (No. 129, origin choice 2)
Asymmetric unit:
Mg (0.250, 0.250, 0.145) [2 per cell]
Ni (0.250, 0.250, 0.589) [2 per cell]
O (0.250, 0.250, 0.864) [2 per cell]

# 2
The following is a PBE with a Hubbard U calculation of a geometry-optimized MgNiO structure, from the Alexandria database.

Final energy in eV/atom: -3.95
D(E_F) in states/eV/cell: 1.73

abc: 4.199 4.199 8.124
angles: 90.00 90.00 90.00
Space group I-4m2 (No. 119)
Asymmetric unit:
Mg (0.000, 0.000, 0.247) [4 per cell]
Ni (0.000, 0.500, 0.018) [4 per cell]
O (0.000, 0.000, 0.000) [2 per cell]
O (0.000, 0.500, 0.750) [2 per cell]